Record 1
Sm2ZrFe16 PBE relaxed; E_tot = -8.0818 eV per atom; density of states at the Fermi level = 18.03 states/eV/cell; calculated formation energy = -0.0086 eV per atom
1.0
-4.9194 -3.2128 -2.7544
-1.7757 -3.3362 5.2750
-4.7065 4.0409 1.9048
Zr Sm Fe
1 2 16
Direct
0.0910 0.0910 0.0910 Zr
0.6589 0.6589 0.6589 Sm
0.3498 0.3498 0.3498 Sm
0.3447 0.3447 0.8361 Fe
0.3447 0.8361 0.3447 Fe
0.8361 0.3447 0.3447 Fe
0.6603 0.6603 0.1580 Fe
0.6603 0.1580 0.6603 Fe
0.1580 0.6603 0.6603 Fe
0.6951 0.9997 0.3044 Fe
0.9997 0.3044 0.6951 Fe
0.3044 0.6951 0.9997 Fe
0.9997 0.6951 0.3044 Fe
0.6951 0.3044 0.9997 Fe
0.3044 0.9997 0.6951 Fe
0.9971 0.5098 0.9971 Fe
0.5098 0.9971 0.9971 Fe
0.9971 0.9971 0.5098 Fe
0.8934 0.8934 0.8934 Fe

Record 2
Rb2PHO4 PBE relaxed; E_tot = -5.5784 eV per atom; density of states at the Fermi level = 0.00 states/eV/cell
1.0
-3.5051 2.2254 0.6863
-4.2251 -1.3407 -4.3292
-5.3655 -6.3810 6.1899
Rb P H O
4 2 2 8
Direct
0.1707 0.0000 0.6586 Rb
0.8293 0.0000 0.3414 Rb
0.5793 0.5000 0.8414 Rb
0.9207 0.5000 0.1586 Rb
0.2500 0.5000 0.5000 P
0.5000 0.0000 0.0000 P
0.7500 0.5000 0.5000 H
0.0000 0.0000 0.0000 H
0.3027 0.8495 0.0841 O
0.2363 0.1505 0.9159 O
0.8478 0.8495 0.9159 O
0.6132 0.1505 0.0841 O
0.4473 0.6505 0.4159 O
0.5137 0.3495 0.5841 O
0.9022 0.6505 0.5841 O
0.1368 0.3495 0.4159 O

Record 3
TbPuGaSi PBE relaxed; E_tot = -7.2439 eV per atom; density of states at the Fermi level = 8.51 states/eV/cell; formation energy from raw total energies = -1.56 eV per formula unit
1.0
-4.9608 0.5490 -0.3188
-3.0128 -3.8660 0.9951
-2.7872 0.0060 4.1526
Si Tb Ga Pu
1 1 1 1
Direct
0.2500 0.2500 0.2500 Si
0.5000 0.5000 0.5000 Tb
0.7500 0.7500 0.7500 Ga
0.0000 0.0000 0.0000 Pu

Record 4
Er2HgPb5 PBE relaxed; E_tot = -3.6956 eV per atom; density of states at the Fermi level = 7.38 states/eV/cell; calculated formation energy = -0.1994 eV per atom
1.0
3.6099 0.0000 0.0000
0.0000 9.2593 0.0000
0.0000 0.0000 13.6373
Er Hg Pb
4 2 10
Direct
0.5000 0.2550 0.6345 Er
0.5000 0.7450 0.3655 Er
0.5000 0.2450 0.1345 Er
0.5000 0.7550 0.8655 Er
0.0000 0.0000 0.5000 Hg
0.0000 0.5000 0.0000 Hg
0.0000 0.0000 0.0000 Pb
0.0000 0.5000 0.5000 Pb
0.0000 0.5066 0.7521 Pb
0.0000 0.4934 0.2479 Pb
0.0000 0.9934 0.2521 Pb
0.0000 0.0066 0.7479 Pb
0.5000 0.2627 0.8865 Pb
0.5000 0.7373 0.1135 Pb
0.5000 0.2373 0.3865 Pb
0.5000 0.7627 0.6135 Pb

Record 5
Ru2PtW PBE relaxed; E_tot = -9.3348 eV per atom; density of states at the Fermi level = 3.85 states/eV/cell; calculated formation energy = 0.0516 eV per atom; excess energy over the best structure of this formula in the dataset = 227 meV/atom
1.0
9.2252 0.0043 0.0025
8.8117 2.7311 0.0025
8.8117 1.3364 2.3819
Pt Ru W
1 2 1
Direct
0.2500 0.2500 0.2500 Pt
0.0020 0.0020 0.0020 Ru
0.4980 0.4980 0.4980 Ru
0.7500 0.7500 0.7500 W

Record 6
TbPm6Tm2 PBE relaxed; E_tot = -4.6014 eV per atom; density of states at the Fermi level = 25.59 states/eV/cell; calculated formation energy = 0.0739 eV per atom
1.0
10.2538 0.7291 4.3375
4.8779 7.8037 2.8201
3.0269 -2.1777 8.8736
Tb Pm Tm
2 12 4
Direct
0.2500 0.3362 0.6638 Tb
0.7500 0.6638 0.3362 Tb
0.6010 0.3958 0.5945 Pm
0.8990 0.4055 0.6042 Pm
0.3990 0.6042 0.4055 Pm
0.1010 0.5945 0.3958 Pm
0.7778 0.0168 0.3326 Pm
0.7222 0.6674 0.9832 Pm
0.2222 0.9832 0.6674 Pm
0.2778 0.3326 0.0168 Pm
0.3238 0.7097 0.9816 Pm
0.1762 0.0184 0.2903 Pm
0.6762 0.2903 0.0184 Pm
0.8238 0.9816 0.7097 Pm
0.0222 0.7548 0.9195 Tm
0.4778 0.0805 0.2452 Tm
0.9778 0.2452 0.0805 Tm
0.5222 0.9195 0.7548 Tm